(1)
Compound: NpNb2N
Source: the Alexandria database
Functional: GGA-PBE
Structure: optimized geometry

Results
- crystal system = tetragonal
- formation energy from raw total energies (eV per formula unit) = 0.5

abc: 2.7495 2.7495 8.1143
angles: 90.00 90.00 90.00
With the nearest neighbours (Å) after each atom.
Space group P4/mmm (No. 123)
Inequivalent atoms, fractional coordinates:
Np 0.0000 0.0000 0.0000 x1  4 Np 2.75
Nb 0.5000 0.5000 0.3303 x2  4 N 2.38
N 0.0000 0.0000 0.5000 x1  8 Nb 2.38

---

(2)
Compound: CsSi2BiO6
Source: the Alexandria database
Functional: GGA-PBE
Structure: optimized geometry

Results
- crystal system = monoclinic
- formation energy from raw total energies (eV per formula unit) = -22.1

abc: 10.7119 10.3631 5.5613
angles: 90.00 100.20 90.00
With the nearest neighbours (Å) after each atom.
Space group C2/c (No. 15)
Inequivalent atoms, fractional coordinates:
Cs 0.0000 0.1768 0.2500 x4  8 O 2.98-3.07
Si 0.2261 0.0787 0.8028 x8  4 O 1.61-1.69
Bi 0.0000 0.3807 0.7500 x4  6 O 2.39-2.41
O 0.1170 0.4354 0.1427 x8  1 Si 1.66
O 0.1597 0.2182 0.7599 x8  1 Si 1.61
O 0.1793 0.0069 0.0438 x8  2 Si 1.68-1.69